{
  "formula": "Mn2AuF",
  "functional": "meta-GGA SCAN",
  "state": "single point on PBEsol structure",
  "lattice": [[-0.876, 2.134, -3.695], [-2.728, -1.732, -2.922], [-3.936, 1.762, -0.617]],
  "species": ["Mn", "Mn", "Au", "F"],
  "fractional_positions": [[0.250, 0.250, 0.250], [0.750, 0.750, 0.750], [0.500, 0.500, 0.500], [0.000, 0.000, 0.000]],
  "rho_g_cm3": 9.254,
  "dft_energy_ev_per_atom": -28.015,
  "raw_formation_energy_ev_per_atom": -0.714
}